(1)
A plane-wave DFT calculation with PBE was carried out for Ac2Ni3As4Rh after structural relaxation. Values from VASP.

Structure (Quantum ESPRESSO input):
```
&SYSTEM
  ibrav = 0, nat = 10, ntyp = 4
/
ATOMIC_SPECIES
Ac 227.00 Ac.upf
Ni 58.69 Ni.upf
As 74.92 As.upf
Rh 102.91 Rh.upf
ATOMIC_POSITIONS crystal
Ac 0.000 0.500 0.249
Ac 0.500 0.000 0.751
Ni 0.000 0.500 0.888
Ni 0.500 0.000 0.112
Ni 0.500 0.500 0.500
As 0.000 0.000 0.000
As 0.000 0.500 0.632
As 0.500 0.000 0.368
As 0.500 0.500 0.000
Rh 0.000 0.000 0.500
CELL_PARAMETERS angstrom
4.374 0.000 0.000
0.000 4.374 0.000
0.000 0.000 9.759
```

Output
Formation enthalpy at 0 K = -798 kJ/mol of formula units
Volume = 186.68 Å³/cell



(2)
A plane-wave DFT calculation with PBE was carried out for Rb2MnGeI6 after structural relaxation. Values from VASP.

Structure (Quantum ESPRESSO input):
```
&SYSTEM
  ibrav = 0, nat = 10, ntyp = 4
/
ATOMIC_SPECIES
Rb 85.47 Rb.upf
Mn 54.94 Mn.upf
Ge 72.64 Ge.upf
I 126.90 I.upf
ATOMIC_POSITIONS crystal
Rb 0.250 0.250 0.250
Rb 0.750 0.750 0.750
Mn 0.000 0.000 0.000
Ge 0.500 0.500 0.500
I 0.245 0.245 0.755
I 0.245 0.755 0.245
I 0.245 0.755 0.755
I 0.755 0.245 0.245
I 0.755 0.245 0.755
I 0.755 0.755 0.245
CELL_PARAMETERS angstrom
0.000 5.886 5.886
5.886 0.000 5.886
5.886 5.886 0.000
```

Output
Volume = 407.77 Å³/cell
Energy above the most stable polymorph in this dataset = 39.3 meV/atom
Formation energy without anion corrections = -0.7836 eV per atom



(3)
A plane-wave DFT calculation with PBE was carried out for Ir3NCl after structural relaxation. Values from VASP.

Structure (Quantum ESPRESSO input):
```
&SYSTEM
  ibrav = 0, nat = 5, ntyp = 3
/
ATOMIC_SPECIES
Ir 192.22 Ir.upf
N 14.01 N.upf
Cl 35.45 Cl.upf
ATOMIC_POSITIONS crystal
Ir 0.000 0.000 0.500
Ir 0.000 0.500 0.000
Ir 0.500 0.000 0.000
N 0.000 0.000 0.000
Cl 0.500 0.500 0.500
CELL_PARAMETERS angstrom
4.160 0.000 0.000
0.000 4.160 0.000
0.000 0.000 4.160
```

Output
Volume = 72.00 Å³/cell
Energy above the most stable polymorph in this dataset = 0.0 meV/atom
Formation energy without anion corrections = 1.2742 eV per atom